Record 1
! PBE-GGA HgTeAu2, relaxed; values from VASP
! Fermi-level density of states, states/eV/atom: 0.144
! Volume, Å³ per atom: 22.11
! SG: Fm-3m
! Uncorrected energy, eV/atom: -2.28
! Energy relative to the lowest polymorph listed for this composition, kJ per mole of atoms: 18.2
&SYSTEM
  ibrav = 0, nat = 4, ntyp = 3
/
ATOMIC_SPECIES
Hg 200.59 Hg.upf
Te 127.60 Te.upf
Au 196.97 Au.upf
CELL_PARAMETERS angstrom
0.000 3.536 3.536
3.536 0.000 3.536
3.536 3.536 0.000
ATOMIC_POSITIONS angstrom
Hg 0.000 0.000 0.000
Te 3.536 3.536 3.536
Au 1.768 1.768 1.768
Au 5.304 5.304 5.304

Record 2
! PBE-GGA Ho2AlGa2, relaxed; values from VASP
! Fermi-level density of states, states/eV/atom: 0.689
! Volume, Å³ per atom: 21.74
! SG: Immm
! Uncorrected energy, eV/atom: -4.35
! Energy relative to the lowest polymorph listed for this composition, kJ per mole of atoms: 3.9
! Formation energy from the elements, eV/f.u.: -2.806
&SYSTEM
  ibrav = 0, nat = 5, ntyp = 3
/
ATOMIC_SPECIES
Ho 164.93 Ho.upf
Al 26.98 Al.upf
Ga 69.72 Ga.upf
CELL_PARAMETERS angstrom
-2.049 2.952 4.492
2.049 -2.952 4.492
2.049 2.952 -4.492
ATOMIC_POSITIONS angstrom
Ho 0.000 0.000 1.906
Ho 0.000 0.000 7.077
Al 0.000 2.952 0.000
Ga 2.049 1.306 0.000
Ga 0.000 1.646 4.492

Record 3
! PBE-GGA Tm2CdSn, relaxed; values from VASP
! Fermi-level density of states, states/eV/atom: 1.090
! Volume, Å³ per atom: 26.20
! SG: P2_1/m
! Uncorrected energy, eV/atom: -3.92
! Formation energy from the elements, eV/f.u.: -1.809
&SYSTEM
  ibrav = 0, nat = 8, ntyp = 3
/
ATOMIC_SPECIES
Tm 168.93 Tm.upf
Cd 112.41 Cd.upf
Sn 118.71 Sn.upf
CELL_PARAMETERS angstrom
6.221 0.000 0.000
0.000 4.730 0.000
-2.260 0.000 7.122
ATOMIC_POSITIONS angstrom
Tm 0.139 1.182 2.991
Tm -0.813 1.182 6.586
Tm 4.774 3.547 0.536
Tm 3.822 3.547 4.131
Cd 1.527 3.547 1.523
Cd 2.434 1.182 5.599
Sn 0.569 3.547 5.038
Sn 3.392 1.182 2.084

Record 4
! PBE-GGA LiLa4Np3N8, relaxed; values from VASP
! Fermi-level density of states, states/eV/atom: 1.225
! Volume, Å³ per atom: 15.77
! SG: R-3m
! Uncorrected energy, eV/atom: -9.05
&SYSTEM
  ibrav = 0, nat = 16, ntyp = 4
/
ATOMIC_SPECIES
Li 6.94 Li.upf
La 138.91 La.upf
Np 237.00 Np.upf
N 14.01 N.upf
CELL_PARAMETERS angstrom
3.512 2.028 5.904
-3.512 2.028 5.904
0.000 -4.056 5.904
ATOMIC_POSITIONS angstrom
Li 0.000 0.000 0.000
La -3.512 0.000 8.857
La -1.756 1.014 2.952
La 1.756 1.014 2.952
La 0.000 0.000 8.857
Np -1.756 -1.014 5.904
Np -1.756 1.014 11.809
Np 0.000 2.028 5.904
N 0.000 -1.863 7.132
N -1.614 0.932 7.132
N 0.000 0.000 4.651
N -1.614 -0.932 10.581
N 1.614 0.932 7.132
N 0.000 0.000 13.062
N 1.614 -0.932 10.581
N 0.000 1.863 10.581

Record 5
! PBE-GGA ScBeO2, relaxed; values from VASP
! Fermi-level density of states, states/eV/atom: 0.213
! Volume, Å³ per atom: 11.90
! SG: R-3m
! Uncorrected energy, eV/atom: -7.49
&SYSTEM
  ibrav = 0, nat = 4, ntyp = 3
/
ATOMIC_SPECIES
Sc 44.96 Sc.upf
Be 9.01 Be.upf
O 16.00 O.upf
CELL_PARAMETERS angstrom
1.659 0.958 4.993
-1.659 0.958 4.993
0.000 -1.916 4.993
ATOMIC_POSITIONS angstrom
Sc 0.000 0.000 0.000
Be 0.000 0.000 7.490
O 0.000 0.000 5.987
O 0.000 0.000 8.993

Record 6
! PBE-GGA Tb4DyY5, relaxed; values from VASP
! Fermi-level density of states, states/eV/atom: 1.423
! Volume, Å³ per atom: 31.99
! SG: C2/m
! Uncorrected energy, eV/atom: -5.53
! Energy relative to the lowest polymorph listed for this composition, kJ per mole of atoms: 0.0
! Formation energy from the elements, eV/f.u.: 0.184
&SYSTEM
  ibrav = 0, nat = 10, ntyp = 3
/
ATOMIC_SPECIES
Tb 158.93 Tb.upf
Dy 162.50 Dy.upf
Y 88.91 Y.upf
CELL_PARAMETERS angstrom
12.751 -1.779 0.000
12.751 1.779 0.000
-0.999 0.000 7.051
ATOMIC_POSITIONS angstrom
Tb 2.246 0.000 2.104
Tb 6.744 0.000 6.340
Tb 17.761 0.000 0.711
Tb 22.258 0.000 4.948
Dy 12.751 0.000 0.000
Y 1.749 0.000 5.653
Y 7.262 0.000 2.826
Y 12.252 0.000 3.526
Y 17.242 0.000 4.225
Y 22.755 0.000 1.399

Copy entry 1 word for word.
! PBE-GGA HgTeAu2, relaxed; values from VASP
! Fermi-level density of states, states/eV/atom: 0.144
! Volume, Å³ per atom: 22.11
! SG: Fm-3m
! Uncorrected energy, eV/atom: -2.28
! Energy relative to the lowest polymorph listed for this composition, kJ per mole of atoms: 18.2
&SYSTEM
  ibrav = 0, nat = 4, ntyp = 3
/
ATOMIC_SPECIES
Hg 200.59 Hg.upf
Te 127.60 Te.upf
Au 196.97 Au.upf
CELL_PARAMETERS angstrom
0.000 3.536 3.536
3.536 0.000 3.536
3.536 3.536 0.000
ATOMIC_POSITIONS angstrom
Hg 0.000 0.000 0.000
Te 3.536 3.536 3.536
Au 1.768 1.768 1.768
Au 5.304 5.304 5.304

The highest uncorrected energy belongs to which entry?
HgTeAu2